1.
DFT (PBE-GGA) results for a relaxed ScTiSiTc crystal.

The raw formation energy comes out at -0.484 eV/atom. Its total magnetic moment is 0.00 μB/cell. For the density of states at the Fermi level, the calculation gives 4.45 states/eV per cell. Its calculated density is 5.8 g/cm³. The total energy is -127.80 eV per cell.

The space group is F-43m (No. 216) and the conventional cell measures 6.323, 6.323 and 6.323 Å, with angles of 90.00, 90.00 and 90.00 degrees. The asymmetric unit holds Sc at (0.000, 0.000, 0.000), Ti at (0.000, 0.000, 0.500), Si at (0.250, 0.250, 0.250) and Tc at (0.250, 0.250, 0.750).



2.
DFT (PBE-GGA) results for a relaxed La2SmErSe4 crystal.

The raw formation energy comes out at -1.881 eV/atom. Its total magnetic moment is 0.00 μB/cell. For the density of states at the Fermi level, the calculation gives 5.10 states/eV per cell. Its calculated density is 7.2 g/cm³. The total energy is -48.12 eV per cell.

The space group is P2/m (No. 10) and the conventional cell measures 7.265, 4.153 and 7.384 Å, with angles of 90.00, 108.82 and 90.00 degrees. The asymmetric unit holds La at (0.000, 0.000, 0.000), La at (0.500, 0.500, 0.000), Sm at (0.000, 0.500, 0.500), Er at (0.500, 0.000, 0.500), Se at (0.251, 0.000, 0.735) and Se at (0.263, 0.500, 0.269).



3.
DFT (PBE-GGA) results for a relaxed HgOs2Pt crystal.

Its total magnetic moment is 0.00 μB/cell. As for the energy of formation from the pure elements: 813 meV/atom. For the density of states at the Fermi level, the calculation gives 11.63 states/eV per cell. Its calculated density is 20.0 g/cm³. The total energy is -51.10 eV per cell.

The space group is Cmmm (No. 65) and the conventional cell measures 5.507, 8.438 and 2.771 Å, with angles of 90.00, 90.00 and 90.00 degrees. The asymmetric unit holds Hg at (0.000, 0.000, 0.000), Os at (0.250, 0.250, 0.500) and Pt at (0.000, 0.500, 0.000).



4.
DFT (PBE-GGA) results for a relaxed La2NiBr crystal.

The raw formation energy comes out at -0.670 eV/atom. Its total magnetic moment is 0.00 μB/cell. As for the energy relative to the lowest polymorph listed for this composition: 204 meV per atom. For the density of states at the Fermi level, the calculation gives 7.28 states/eV per cell. Its calculated density is 6.6 g/cm³. The total energy is -39.97 eV per cell.

The space group is Cm (No. 8) and the conventional cell measures 11.794, 3.874 and 4.574 Å, with angles of 90.00, 90.01 and 90.00 degrees. The asymmetric unit holds La at (0.000, 0.000, 0.000), La at (0.242, 0.500, 0.501), Ni at (0.004, 0.500, 0.500) and Br at (0.267, 0.000, 0.001).



> Number 1 is which compound?

ScTiSiTc



> Look up the calculated density of the first one.

5.8 g/cm³